TaCo (GGA-PBE, relaxed); formation energy = 0.0 eV/f.u.; E = -9.485 eV/atom
1.0
-3.849 3.849 2.006
3.849 -3.849 2.006
3.849 3.849 -2.006
Ta Co
4 4
Direct
0.000 0.297 0.297
0.000 0.703 0.703
0.297 0.000 0.297
0.703 0.000 0.703
0.335 0.335 0.670
0.335 0.665 0.000
0.665 0.335 0.000
0.665 0.665 0.330